[1]
Density functional theory data (meta-GGA SCAN) for a PBEsol-optimized structure of MnTlF4.

SG: C2/c (15)

Cell lengths 6.9506, 6.9506, 5.5942 Å; angles 106.46, 106.46, 44.25 degrees
Fractional coordinates of all 12 atoms:
Mn  0.0000  0.5000  0.0000
Mn  0.5000  0.0000  0.5000
Tl  0.2178  0.7822  0.7500
Tl  0.7822  0.2178  0.2500
F  0.1892  0.2318  0.6745
F  0.2318  0.1892  0.1745
F  0.2527  0.5321  0.0905
F  0.4679  0.7473  0.4095
F  0.5321  0.2527  0.5905
F  0.7473  0.4679  0.9095
F  0.7682  0.8108  0.8255
F  0.8108  0.7682  0.3255


[2]
Density functional theory data (meta-GGA SCAN) for a PBEsol-optimized structure of IrRh3.

DFT formation energy (meV per atom): -26
SG: C2/m (12)

Cell lengths 8.8877, 2.6783, 4.6407 Å; angles 90.00, 100.04, 90.00 degrees
Fractional coordinates of all 8 atoms:
Ir  0.0000  0.0000  0.0000
Ir  0.5000  0.5000  0.0000
Rh  0.0000  0.5000  0.5000
Rh  0.2487  0.5000  0.2480
Rh  0.2513  0.0000  0.7520
Rh  0.5000  0.0000  0.5000
Rh  0.7487  0.0000  0.2480
Rh  0.7513  0.5000  0.7520


[3]
Density functional theory data (meta-GGA SCAN) for a PBEsol-optimized structure of Ga3MoO.

SG: Pm-3m (221)

Cell lengths 4.1249, 4.1249, 4.1249 Å; angles 90.00, 90.00, 90.00 degrees
Fractional coordinates of all 5 atoms:
Ga  0.0000  0.0000  0.5000
Ga  0.0000  0.5000  0.0000
Ga  0.5000  0.0000  0.0000
Mo  0.5000  0.5000  0.5000
O  0.0000  0.0000  0.0000


[4]
Density functional theory data (meta-GGA SCAN) for a PBEsol-optimized structure of LaZr2Ge2.

DFT formation energy (meV per atom): -781
SG: I4/mmm (139)

Cell lengths 4.2482, 4.2482, 12.3470 Å; angles 90.00, 90.00, 90.00 degrees
Fractional coordinates of all 10 atoms:
La  0.0000  0.0000  0.0000
La  0.5000  0.5000  0.5000
Zr  0.0000  0.5000  0.2500
Zr  0.0000  0.5000  0.7500
Zr  0.5000  0.0000  0.2500
Zr  0.5000  0.0000  0.7500
Ge  0.0000  0.0000  0.3974
Ge  0.0000  0.0000  0.6026
Ge  0.5000  0.5000  0.1026
Ge  0.5000  0.5000  0.8974


[5]
Density functional theory data (meta-GGA SCAN) for a PBEsol-optimized structure of RbLaIn2.

DFT formation energy (meV per atom): -203
SG: Fm-3m (225)

Cell lengths 8.0379, 8.0379, 8.0379 Å; angles 90.00, 90.00, 90.00 degrees
Fractional coordinates of all 16 atoms:
Rb  0.0000  0.0000  0.0000
Rb  0.0000  0.5000  0.5000
Rb  0.5000  0.0000  0.5000
Rb  0.5000  0.5000  0.0000
La  0.0000  0.0000  0.5000
La  0.0000  0.5000  0.0000
La  0.5000  0.0000  0.0000
La  0.5000  0.5000  0.5000
In  0.2500  0.2500  0.2500
In  0.2500  0.2500  0.7500
In  0.2500  0.7500  0.2500
In  0.2500  0.7500  0.7500
In  0.7500  0.2500  0.2500
In  0.7500  0.2500  0.7500
In  0.7500  0.7500  0.2500
In  0.7500  0.7500  0.7500


[6]
Density functional theory data (meta-GGA SCAN) for a PBEsol-optimized structure of ReSi2Ni.

SG: P4/mmm (123)

Cell lengths 4.0264, 4.0264, 3.0014 Å; angles 90.00, 90.00, 90.00 degrees
Fractional coordinates of all 4 atoms:
Re  0.0000  0.0000  0.0000
Si  0.0000  0.5000  0.5000
Si  0.5000  0.0000  0.5000
Ni  0.5000  0.5000  0.0000


[7]
Density functional theory data (meta-GGA SCAN) for a PBEsol-optimized structure of Ga2Co21B6.

DFT formation energy (meV per atom): -114
SG: Fm-3m (225)

Cell lengths 7.2880, 7.2880, 7.2880 Å; angles 60.00, 60.00, 60.00 degrees
Fractional coordinates of all 29 atoms:
Ga  0.2500  0.2500  0.2500
Ga  0.7500  0.7500  0.7500
Co  0.0000  0.0000  0.0000
Co  0.0000  0.0000  0.3363
Co  0.0000  0.0000  0.6637
Co  0.0000  0.3363  0.0000
Co  0.0000  0.3363  0.6637
Co  0.0000  0.6637  0.0000
Co  0.0000  0.6637  0.3363
Co  0.1456  0.6181  0.6181
Co  0.3363  0.0000  0.0000
Co  0.3363  0.0000  0.6637
Co  0.3363  0.6637  0.0000
Co  0.3819  0.3819  0.3819
Co  0.3819  0.3819  0.8544
Co  0.3819  0.8544  0.3819
Co  0.6181  0.1456  0.6181
Co  0.6181  0.6181  0.1456
Co  0.6181  0.6181  0.6181
Co  0.6637  0.0000  0.0000
Co  0.6637  0.0000  0.3363
Co  0.6637  0.3363  0.0000
Co  0.8544  0.3819  0.3819
B  0.2770  0.2770  0.7230
B  0.2770  0.7230  0.2770
B  0.2770  0.7230  0.7230
B  0.7230  0.2770  0.2770
B  0.7230  0.2770  0.7230
B  0.7230  0.7230  0.2770


[8]
Density functional theory data (meta-GGA SCAN) for a PBEsol-optimized structure of CaY2.

DFT formation energy (meV per atom): 92
SG: Cm (8)

Cell lengths 13.2136, 3.6176, 8.6058 Å; angles 90.00, 105.38, 90.00 degrees
Fractional coordinates of all 12 atoms:
Ca  0.0000  0.0000  0.0000
Ca  0.1591  0.5000  0.3426
Ca  0.5000  0.5000  0.0000
Ca  0.6591  0.0000  0.3426
Y  0.0460  0.0000  0.6174
Y  0.2289  0.5000  0.9347
Y  0.3304  0.0000  0.6686
Y  0.3780  0.0000  0.2847
Y  0.5460  0.5000  0.6174
Y  0.7289  0.0000  0.9347
Y  0.8304  0.5000  0.6686
Y  0.8780  0.5000  0.2847


Number 1: volume 14.96 Å³ per atom, final energy -240.42 eV for the cell shown, total magnetic moment 0.667 μB per atom. Number 2: volume 13.60 Å³ per atom, final energy -345.04 eV for the cell shown, total magnetic moment 0.000 μB per atom. Number 3: volume 14.04 Å³ per atom, final energy -90.07 eV for the cell shown, total magnetic moment 0.100 μB per atom. Number 4: volume 22.28 Å³ per atom, final energy -293.17 eV for the cell shown, total magnetic moment 0.000 μB per atom. Number 5: volume 32.46 Å³ per atom, final energy -525.71 eV for the cell shown, total magnetic moment 0.000 μB per atom. Number 6: volume 12.16 Å³ per atom, final energy -108.30 eV for the cell shown, total magnetic moment 0.000 μB per atom. Number 7: volume 9.44 Å³ per atom, final energy -443.97 eV for the cell shown, total magnetic moment 0.856 μB per atom. Number 8: volume 33.05 Å³ per atom, final energy -260.30 eV for the cell shown, total magnetic moment 0.259 μB per atom.